Here is a geometry-optimized As2RuRh structure from Alexandria via LeMat-Bulk. Energies are from GGA-PBE.

Calculated values
final energy	-26.09	eV per cell
crystal system	tetragonal
ΔE_f	-0.040	eV per atom

Cell and atoms, written as POSCAR:
```
As2RuRh
1.0
-0.228 -4.249 -0.719
4.294 -0.165 -0.387
0.265 -0.550 3.166
As Rh Ru
2 1 1
Cartesian
0.000 0.000 0.000
2.033 -2.207 -0.553
0.018 -2.399 1.223
2.279 -0.357 1.389
```